DFT (PBE) results for a geometry-optimized Li2Cu2Tc structure.

a = 7.0886 Å, b = 7.0886 Å, c = 2.5017 Å
α = 90.00°, β = 90.00°, γ = 90.00°
Atoms (fractional coordinates):
Li: 0.1712 0.3288 0.0000
Li: 0.3288 0.8288 0.0000
Li: 0.6712 0.1712 0.0000
Li: 0.8288 0.6712 0.0000
Cu: 0.1286 0.6286 0.5000
Cu: 0.3714 0.1286 0.5000
Cu: 0.6286 0.8714 0.5000
Cu: 0.8714 0.3714 0.5000
Tc: 0.0000 0.0000 0.5000
Tc: 0.5000 0.5000 0.5000

## Properties
ΔH_f (0 K), eV per atom: 0.28
Energy, eV per atom: -4.195
Calculated density, g/cm³: 6.31
Excess energy over the best structure of this formula in the dataset, meV per atom: 83.5